## Cs4CdAg2 (PBE)

Data for Cs4CdAg2 after structural relaxation.

E: -1.283 eV/atom
magnetic moment: 0.0 μB/cell
E_form: 0.15 eV per atom
volume: 483.3 Å³/f.u.

a b c (Å): 10.3576 10.3576 10.3576
angles (deg): 138.47 138.47 60.18
With the nearest neighbours (Å) after each atom.
Sites, in units of the cell vectors:
Cs 0.0000 0.5000 0.5000  2 Cd 3.67, 4 Ag 3.93
Cs 0.2187 0.2187 0.0000  1 Ag 3.64, 1 Cd 3.92
Cs 0.5000 0.0000 0.5000  2 Cd 3.67, 4 Ag 3.93
Cs 0.7813 0.7813 0.0000  1 Ag 3.64, 1 Cd 3.92
Cd 0.0000 0.0000 0.0000  6 Cs 3.67-3.92
Ag 0.4217 0.4217 0.0000  1 Ag 2.81
Ag 0.5783 0.5783 0.0000  1 Ag 2.81